Record 1
DFT (GGA-PBE) results for an optimized crystal structure of HfTlAs2O8.

abc: 5.5481 5.5481 7.0663
angles: 90.00 90.00 120.00
Closest atoms and distances in Å follow each position.
Atoms (fractional coordinates):
Hf: 0.0000 0.0000 0.0000  6 O 2.06
Tl: 0.0000 0.0000 0.5000  6 O 2.75
As: 0.3333 0.6667 0.7277  4 O 1.68-1.72
As: 0.6667 0.3333 0.2723  4 O 1.68-1.72
O: 0.1666 0.3332 0.8170  1 As 1.72
O: 0.1666 0.8334 0.8170  1 As 1.72
O: 0.3332 0.1666 0.1830  1 As 1.72
O: 0.3333 0.6667 0.4894  1 As 1.68
O: 0.6667 0.3333 0.5106  1 As 1.68
O: 0.6668 0.8334 0.8170  1 As 1.72
O: 0.8334 0.1666 0.1830  1 As 1.72
O: 0.8334 0.6668 0.1830  1 As 1.72

Formation energy from raw total energies (eV per formula unit): -19.48
Crystal system: trigonal


Record 2
DFT (GGA-PBE) results for an optimized crystal structure of SrPaTl2S4.

abc: 7.3388 4.1683 7.8751
angles: 90.00 107.63 90.00
Closest atoms and distances in Å follow each position.
Atoms (fractional coordinates):
Sr: 0.0000 0.0000 0.0000  6 S 2.96-3.00
Pa: 0.5000 0.5000 0.0000  6 S 2.69-2.78
Tl: 0.0000 0.5000 0.5000  6 S 3.38-3.46
Tl: 0.5000 0.0000 0.5000  6 S 3.20-3.22
S: 0.2641 0.5000 0.2030  1 Pa 2.69, 2 Sr 2.96
S: 0.2899 0.0000 0.8015  2 Pa 2.78, 1 Sr 3.00
S: 0.7101 0.0000 0.1985  2 Pa 2.78, 1 Sr 3.00
S: 0.7359 0.5000 0.7970  1 Pa 2.69, 2 Sr 2.96

Formation energy from raw total energies (eV per formula unit): -10.33
Crystal system: monoclinic


Record 3
DFT (GGA-PBE) results for an optimized crystal structure of LiNiI2.

abc: 7.5402 7.5402 7.5402
angles: 131.49 131.49 71.04
Closest atoms and distances in Å follow each position.
Atoms (fractional coordinates):
Li: 0.0000 0.0000 0.0000  4 I 2.78
Li: 0.7500 0.2500 0.5000  4 I 2.78
Ni: 0.2500 0.7500 0.5000  4 I 2.58
Ni: 0.5000 0.5000 0.0000  4 I 2.58
I: 0.1526 0.6250 0.0276  2 Ni 2.58, 2 Li 2.78
I: 0.3750 0.4026 0.5276  2 Ni 2.58, 2 Li 2.78
I: 0.5974 0.1250 0.9724  2 Ni 2.58, 2 Li 2.78
I: 0.8750 0.8474 0.4724  2 Ni 2.58, 2 Li 2.78

Formation energy from raw total energies (eV per formula unit): -1.86
Crystal system: tetragonal
Energy relative to the lowest polymorph listed for this composition (meV/atom): 0


Record 4
DFT (GGA-PBE) results for an optimized crystal structure of Er3Te2Pb.

abc: 7.5365 7.5365 7.5365
angles: 146.14 131.74 60.25
Closest atoms and distances in Å follow each position.
Atoms (fractional coordinates):
Er: 0.0000 0.0000 0.0000  2 Pb 3.08, 4 Te 3.11
Er: 0.3391 0.3391 0.0000  2 Pb 3.04, 4 Te 3.08-3.12
Er: 0.6609 0.6609 0.0000  2 Pb 3.04, 4 Te 3.08-3.12
Te: 0.1686 0.6686 0.5000  6 Er 3.08-3.12
Te: 0.8314 0.3314 0.5000  6 Er 3.08-3.12
Pb: 0.5000 0.0000 0.5000  6 Er 3.04-3.08

Formation energy from raw total energies (eV per formula unit): -6.19
Crystal system: orthorhombic


Record 5
DFT (GGA-PBE) results for an optimized crystal structure of CeHoIn6.

abc: 6.6848 6.6848 5.2779
angles: 90.00 90.00 120.00
Closest atoms and distances in Å follow each position.
Atoms (fractional coordinates):
Ce: 0.0000 0.0000 0.0000  12 In 3.32-3.34
Ho: 0.6667 0.3333 0.5000  12 In 3.30-3.34
In: 0.0091 0.5046 0.0000  8 In 3.23-3.43, 2 Ho 3.30, 2 Ce 3.34
In: 0.1743 0.3486 0.5000  8 In 3.19-3.50, 2 Ce 3.32, 2 Ho 3.34
In: 0.1743 0.8257 0.5000  8 In 3.19-3.50, 2 Ce 3.32, 2 Ho 3.34
In: 0.4954 0.5046 0.0000  8 In 3.23-3.43, 2 Ho 3.30, 2 Ce 3.34
In: 0.4954 0.9909 0.0000  8 In 3.23-3.43, 2 Ho 3.30, 2 Ce 3.34
In: 0.6514 0.8257 0.5000  8 In 3.19-3.50, 2 Ce 3.32, 2 Ho 3.34

Crystal system: hexagonal
DFT formation energy (eV/atom): -0.35
Energy relative to the lowest polymorph listed for this composition (meV/atom): 61


Record 6
DFT (GGA-PBE) results for an optimized crystal structure of BaAg3Os.

abc: 5.9710 5.9710 5.9710
angles: 90.00 90.00 90.00
Closest atoms and distances in Å follow each position.
Atoms (fractional coordinates):
Ba: 0.0000 0.0000 0.0000  6 Ag 2.99
Ag: 0.0000 0.0000 0.5000  2 Ba 2.99
Ag: 0.0000 0.5000 0.0000  2 Ba 2.99
Ag: 0.5000 0.0000 0.0000  2 Ba 2.99
Os: 0.5000 0.5000 0.5000  12 Ag 4.22

Crystal system: cubic
DFT formation energy (eV/atom): 2.25
Energy relative to the lowest polymorph listed for this composition (meV/atom): 1595


Record 7
DFT (GGA-PBE) results for an optimized crystal structure of Mn2InTe.

abc: 5.5290 5.5290 4.0364
angles: 90.08 90.08 40.39
Closest atoms and distances in Å follow each position.
Atoms (fractional coordinates):
Mn: 0.0000 0.0000 0.0000  2 Mn 2.72, 4 Te 2.83, 3 In 2.89-2.99
Mn: 0.1760 0.1760 0.5011  2 Mn 2.72, 4 In 2.82, 3 Te 2.83-3.03
In: 0.7217 0.7217 0.0013  7 Mn 2.82-2.99
Te: 0.4488 0.4488 0.5001  7 Mn 2.83-3.03

Formation energy from raw total energies (eV per formula unit): 0.91
Crystal system: monoclinic
Energy relative to the lowest polymorph listed for this composition (meV/atom): 45


Record 8
DFT (GGA-PBE) results for an optimized crystal structure of CeEuZnIr.

abc: 5.0359 5.0359 5.0359
angles: 60.00 60.00 60.00
Closest atoms and distances in Å follow each position.
Atoms (fractional coordinates):
Ce: 0.0000 0.0000 0.0000  4 Zn 3.08, 4 Ir 3.08
Eu: 0.5000 0.5000 0.5000  4 Ir 3.08, 4 Zn 3.08
Zn: 0.2500 0.2500 0.2500  4 Eu 3.08, 4 Ce 3.08
Ir: 0.7500 0.7500 0.7500  4 Ce 3.08, 4 Eu 3.08

Crystal system: cubic
DFT formation energy (eV/atom): -0.37


Record 9
DFT (GGA-PBE) results for an optimized crystal structure of InHgRh.

abc: 4.5581 4.5581 3.2191
angles: 90.00 90.00 120.00
Closest atoms and distances in Å follow each position.
Atoms (fractional coordinates):
In: 0.0000 0.0000 0.0000  3 Rh 2.72, 3 Hg 2.93
Hg: 0.3333 0.6667 0.5967  3 Rh 2.91, 3 In 2.93, 2 Hg 3.22
Rh: 0.6667 0.3333 0.2145  3 In 2.72, 3 Hg 2.91

Crystal system: trigonal
DFT formation energy (eV/atom): 0.05
Energy relative to the lowest polymorph listed for this composition (meV/atom): 176


Record 10
DFT (GGA-PBE) results for an optimized crystal structure of Si2AsAu.

abc: 6.6483 6.6483 6.6483
angles: 128.09 128.09 76.48
Closest atoms and distances in Å follow each position.
Atoms (fractional coordinates):
Si: 0.1228 0.6250 0.9978  2 Au 2.43, 2 As 2.44
Si: 0.3750 0.3728 0.4978  2 Au 2.43, 2 As 2.44
Si: 0.6272 0.1250 0.0022  2 Au 2.43, 2 As 2.44
Si: 0.8750 0.8772 0.5022  2 Au 2.43, 2 As 2.44
As: 0.2500 0.7500 0.5000  4 Si 2.44
As: 0.5000 0.5000 0.0000  4 Si 2.44
Au: 0.0000 0.0000 0.0000  4 Si 2.43
Au: 0.7500 0.2500 0.5000  4 Si 2.43

Formation energy from raw total energies (eV per formula unit): 0.36
Crystal system: tetragonal


Record 11
DFT (GGA-PBE) results for an optimized crystal structure of AlTc2Hg.

abc: 4.4779 4.4779 4.4779
angles: 60.00 60.00 60.00
Closest atoms and distances in Å follow each position.
Atoms (fractional coordinates):
Al: 0.0000 0.0000 0.0000  8 Tc 2.74
Tc: 0.2500 0.2500 0.2500  4 Hg 2.74, 4 Al 2.74
Tc: 0.7500 0.7500 0.7500  4 Hg 2.74, 4 Al 2.74
Hg: 0.5000 0.5000 0.5000  8 Tc 2.74

Crystal system: cubic
DFT formation energy (eV/atom): 0.39
Energy relative to the lowest polymorph listed for this composition (meV/atom): 373


Record 12
DFT (GGA-PBE) results for an optimized crystal structure of Zn5In.

abc: 4.8459 4.8459 4.8240
angles: 90.00 90.00 110.27
Closest atoms and distances in Å follow each position.
Atoms (fractional coordinates):
Zn: 0.0000 0.0000 0.0000  6 Zn 2.57-2.72
Zn: 0.1591 0.8409 0.5000  5 Zn 2.53-2.74, 1 In 2.71
Zn: 0.3235 0.6765 0.0000  4 Zn 2.57-2.81, 2 In 2.79
Zn: 0.6765 0.3235 0.0000  4 Zn 2.57-2.81, 2 In 2.79
Zn: 0.8409 0.1591 0.5000  5 Zn 2.53-2.74, 1 In 2.71
In: 0.5000 0.5000 0.5000  6 Zn 2.71-2.79

Crystal system: orthorhombic
DFT formation energy (eV/atom): 0.08